## A
## Ti2HgP (PBE)

Data for Ti2HgP after structural relaxation.

The structure belongs to space group I-42d (No. 122); the cell edges are 7.042, 7.042 and 5.805 Å and the angles 90.00°, 90.00° and 90.00°. The asymmetric unit holds Ti at (0.214, 0.250, 0.125), Hg at (0.000, 0.000, 0.500) and P at (0.000, 0.000, 0.000).

The total magnetization comes out at 0.00 μB per formula unit. The theoretical density is 7.6 g/cm³.

=====

## B
## Ti2HgP (PBE)

Data for Ti2HgP after structural relaxation.

The structure belongs to space group Fm-3m (No. 225); the cell edges are 6.430, 6.430 and 6.430 Å and the angles 90.00°, 90.00° and 90.00°. The asymmetric unit holds Ti at (0.250, 0.250, 0.250), Hg at (0.000, 0.000, 0.000) and P at (0.000, 0.000, 0.500).

The total magnetization comes out at 0.00 μB per formula unit. The theoretical density is 8.2 g/cm³.

=====

Going by the computed energies, the most stable comes first: A, B.

=====

## A
## TiHg3P (PBE)

Data for TiHg3P after structural relaxation.

The structure belongs to space group Pm-3m (No. 221); the cell edges are 5.274, 5.274 and 5.274 Å and the angles 90.00°, 90.00° and 90.00°. The asymmetric unit holds Ti at (0.000, 0.000, 0.000), Hg at (0.000, 0.000, 0.500) and P at (0.500, 0.500, 0.500).

The total magnetization comes out at 0.00 μB per formula unit. The theoretical density is 7.7 g/cm³.

=====

## B
## TiHg3P (PBE)

Data for TiHg3P after structural relaxation.

The structure belongs to space group Pm-3m (No. 221); the cell edges are 5.003, 5.003 and 5.003 Å and the angles 90.00°, 90.00° and 90.00°. The asymmetric unit holds Ti at (0.000, 0.000, 0.000), Hg at (0.000, 0.500, 0.500) and P at (0.500, 0.500, 0.500).

The total magnetization comes out at 0.00 μB per formula unit. The theoretical density is 9.0 g/cm³.

=====

Going by the computed energies, the most stable comes first: B, A.

=====

## A
## TlHgP2 (PBE)

Data for TlHgP2 after structural relaxation.

The structure belongs to space group P2/m (No. 10); the cell edges are 5.159, 3.997 and 5.240 Å and the angles 90.00°, 102.14° and 90.00°. The asymmetric unit holds Tl at (0.000, 0.000, 0.000), Hg at (0.500, 0.000, 0.500) and P at (0.192, 0.500, 0.620).

The total magnetization comes out at 0.00 μB per formula unit. The theoretical density is 7.3 g/cm³.

=====

## B
## TlHgP2 (PBE)

Data for TlHgP2 after structural relaxation.

The structure belongs to space group R3m (No. 160, hexagonal axes); the cell edges are 3.3677, 3.3677 and 29.1343 Å and the angles 90.00°, 90.00° and 120.00°. The asymmetric unit holds Tl at (0.0000, 0.0000, 0.0000), Hg at (0.0000, 0.0000, 0.2358), P at (0.0000, 0.0000, 0.4748) and P at (0.0000, 0.0000, 0.7669).

The total magnetization comes out at 0.00 μB per formula unit. The theoretical density is 8.1 g/cm³.

=====

Going by the computed energies, the most stable comes first: B, A.

=====

## A
## TlHg2P2 (PBE)

Data for TlHg2P2 after structural relaxation.

The structure belongs to space group I4/mmm (No. 139); the cell edges are 4.454, 4.454 and 12.105 Å and the angles 90.00°, 90.00° and 90.00°. The asymmetric unit holds Tl at (0.000, 0.000, 0.000), Hg at (0.000, 0.000, 0.384) and P at (0.000, 0.500, 0.250).

The total magnetization comes out at 0.00 μB per formula unit. The theoretical density is 9.2 g/cm³.

=====

## B
## TlHg2P2 (PBE)

Data for TlHg2P2 after structural relaxation.

The structure belongs to space group I4/mmm (No. 139); the cell edges are 5.157, 5.157 and 9.131 Å and the angles 90.00°, 90.00° and 90.00°. The asymmetric unit holds Tl at (0.000, 0.000, 0.000), Hg at (0.000, 0.500, 0.250) and P at (0.000, 0.000, 0.384).

The total magnetization comes out at 0.00 μB per formula unit. The theoretical density is 9.1 g/cm³.

=====

Going by the computed energies, the most stable comes first: B, A.

=====

## A
## TlHgP (PBE)

Data for TlHgP after structural relaxation.

The structure belongs to space group P3m1 (No. 156); the cell edges are 4.3791, 4.3791 and 4.9843 Å and the angles 90.00°, 90.00° and 120.00°. The asymmetric unit holds Tl at (0.0000, 0.0000, 0.0000), Hg at (0.3333, 0.6667, 0.5110) and P at (0.6667, 0.3333, 0.4585).

The total magnetization comes out at 0.00 μB per formula unit. The theoretical density is 8.7 g/cm³.

=====

## B
## TlHgP (PBE)

Data for TlHgP after structural relaxation.

The structure belongs to space group P3m1 (No. 156); the cell edges are 3.1606, 3.1606 and 8.6336 Å and the angles 90.00°, 90.00° and 120.00°. The asymmetric unit holds Tl at (0.0000, 0.0000, 0.0000), Hg at (0.6667, 0.3333, 0.3861) and P at (0.3333, 0.6667, 0.7081).

The total magnetization comes out at 0.00 μB per formula unit. The theoretical density is 9.7 g/cm³.

=====

Going by the computed energies, the most stable comes first: A, B.

=====

## A
## TlHgP (PBE)

Data for TlHgP after structural relaxation.

The structure belongs to space group F-43m (No. 216); the cell edges are 6.838, 6.838 and 6.838 Å and the angles 90.00°, 90.00° and 90.00°. The asymmetric unit holds Tl at (0.000, 0.000, 0.000), Hg at (0.000, 0.000, 0.500) and P at (0.250, 0.250, 0.750).

The total magnetization comes out at 0.00 μB per formula unit. The theoretical density is 9.1 g/cm³.

=====

## B
## TlHgP (PBE)

Data for TlHgP after structural relaxation.

The structure belongs to space group I4mm (No. 107); the cell edges are 3.764, 3.764 and 11.781 Å and the angles 90.00°, 90.00° and 90.00°. The asymmetric unit holds Tl at (0.000, 0.000, 0.000), Hg at (0.000, 0.000, 0.271) and P at (0.000, 0.000, 0.749).

The total magnetization comes out at 0.00 μB per formula unit. The theoretical density is 8.7 g/cm³.

=====

Going by the computed energies, the most stable comes first: A, B.

=====

## A
## TlHgP (PBE)

Data for TlHgP after structural relaxation.

The structure belongs to space group P2_1/m (No. 11); the cell edges are 4.892, 3.348 and 10.050 Å and the angles 90.00°, 100.40° and 90.00°. The asymmetric unit holds Tl at (0.131, 0.250, 0.231), Hg at (0.286, 0.250, 0.581) and P at (0.355, 0.750, 0.001).

The total magnetization comes out at 0.00 μB per formula unit. The theoretical density is 8.9 g/cm³.

=====

## B
## TlHgP (PBE)

Data for TlHgP after structural relaxation.

The structure belongs to space group Imm2 (No. 44); the cell edges are 3.084, 5.492 and 8.778 Å and the angles 90.00°, 90.00° and 90.00°. The asymmetric unit holds Tl at (0.000, 0.000, 0.000), Hg at (0.000, 0.000, 0.341) and P at (0.000, 0.000, 0.647).

The total magnetization comes out at 0.00 μB per formula unit. The theoretical density is 9.7 g/cm³.

=====

## C
## TlHgP (PBE)

Data for TlHgP after structural relaxation.

The structure belongs to space group Fmm2 (No. 42); the cell edges are 4.395, 5.579 and 12.083 Å and the angles 90.00°, 90.00° and 90.00°. The asymmetric unit holds Tl at (0.000, 0.000, 0.000), Hg at (0.000, 0.000, 0.296) and P at (0.000, 0.000, 0.670).

The total magnetization comes out at 0.00 μB per formula unit. The theoretical density is 9.8 g/cm³.

=====

Going by the computed energies, the most stable comes first: A, C, B.

=====

## A
## Tl4HgP (PBE)

Data for Tl4HgP after structural relaxation.

The structure belongs to space group F-43m (No. 216); the cell edges are 9.029, 9.029 and 9.029 Å and the angles 90.00°, 90.00° and 90.00°. The asymmetric unit holds Tl at (0.124, 0.124, 0.376), Hg at (0.000, 0.000, 0.000) and P at (0.250, 0.250, 0.750).

The total magnetization comes out at 0.00 μB per formula unit. The theoretical density is 9.5 g/cm³.

=====

## B
## Tl4HgP (PBE)

Data for Tl4HgP after structural relaxation.

The structure belongs to space group I4_1md (No. 109); the cell edges are 9.592, 9.592 and 9.278 Å and the angles 90.00°, 90.00° and 90.00°. The asymmetric unit holds Tl at (0.000, 0.189, 0.000), Tl at (0.000, 0.202, 0.472), Hg at (0.000, 0.000, 0.733) and P at (0.000, 0.000, 0.226).

The total magnetization comes out at 0.00 μB per formula unit. The theoretical density is 8.2 g/cm³.

=====

Going by the computed energies, the most stable comes first: B, A.

=====

## A
## TlV2HgP (PBE)

Data for TlV2HgP after structural relaxation.

The structure belongs to space group P4/mmm (No. 123); the cell edges are 4.585, 4.585 and 5.024 Å and the angles 90.00°, 90.00° and 90.00°. The asymmetric unit holds Tl at (0.000, 0.000, 0.000), V at (0.000, 0.500, 0.500), Hg at (0.500, 0.500, 0.000) and P at (0.500, 0.500, 0.500).

The total magnetization comes out at 3.94 μB per formula unit. The theoretical density is 8.5 g/cm³.

=====

## B
## TlV2HgP (PBE)

Data for TlV2HgP after structural relaxation.

The structure belongs to space group P4/mmm (No. 123); the cell edges are 5.187, 5.187 and 5.234 Å and the angles 90.00°, 90.00° and 90.00°. The asymmetric unit holds Tl at (0.000, 0.000, 0.000), V at (0.000, 0.500, 0.000), Hg at (0.000, 0.000, 0.500) and P at (0.500, 0.500, 0.500).

The total magnetization comes out at 5.30 μB per formula unit. The theoretical density is 6.3 g/cm³.

=====

Going by the computed energies, the most stable comes first: A, B.

=====

## A
## V3HgP (PBE)

Data for V3HgP after structural relaxation.

The structure belongs to space group Pm-3m (No. 221); the cell edges are 4.932, 4.932 and 4.932 Å and the angles 90.00°, 90.00° and 90.00°. The asymmetric unit holds V at (0.000, 0.000, 0.500), Hg at (0.000, 0.000, 0.000) and P at (0.500, 0.500, 0.500).

The total magnetization comes out at 7.06 μB per formula unit. The theoretical density is 5.3 g/cm³.

=====

## B
## V3HgP (PBE)

Data for V3HgP after structural relaxation.

The structure belongs to space group Pm-3m (No. 221); the cell edges are 4.410, 4.410 and 4.410 Å and the angles 90.00°, 90.00° and 90.00°. The asymmetric unit holds V at (0.000, 0.000, 0.500), Hg at (0.500, 0.500, 0.500) and P at (0.000, 0.000, 0.000).

The total magnetization comes out at 4.17 μB per formula unit. The theoretical density is 7.4 g/cm³.

=====

Going by the computed energies, the most stable comes first: B, A.

=====

## A
## HgP3W (PBE)

Data for HgP3W after structural relaxation.

The structure belongs to space group Pm-3m (No. 221); the cell edges are 4.773, 4.773 and 4.773 Å and the angles 90.00°, 90.00° and 90.00°. The asymmetric unit holds Hg at (0.000, 0.000, 0.000), P at (0.000, 0.000, 0.500) and W at (0.500, 0.500, 0.500).

The total magnetization comes out at 0.00 μB per formula unit. The theoretical density is 7.3 g/cm³.

=====

## B
## HgP3W (PBE)

Data for HgP3W after structural relaxation.

The structure belongs to space group Pm-3m (No. 221); the cell edges are 4.752, 4.752 and 4.752 Å and the angles 90.00°, 90.00° and 90.00°. The asymmetric unit holds Hg at (0.000, 0.000, 0.000), P at (0.000, 0.500, 0.500) and W at (0.500, 0.500, 0.500).

The total magnetization comes out at 0.00 μB per formula unit. The theoretical density is 7.4 g/cm³.

=====

Going by the computed energies, the most stable comes first: B, A.

=====

## A
## YHgP (PBE)

Data for YHgP after structural relaxation.

The structure belongs to space group I4mm (No. 107); the cell edges are 3.877, 3.877 and 12.369 Å and the angles 90.00°, 90.00° and 90.00°. The asymmetric unit holds Y at (0.000, 0.000, 0.000), Hg at (0.000, 0.000, 0.755) and P at (0.000, 0.000, 0.530).

The total magnetization comes out at 0.00 μB per formula unit. The theoretical density is 5.7 g/cm³.

=====

## B
## YHgP (PBE)

Data for YHgP after structural relaxation.

The structure belongs to space group P3m1 (No. 156); the cell edges are 4.1104, 4.1104 and 5.0349 Å and the angles 90.00°, 90.00° and 120.00°. The asymmetric unit holds Y at (0.0000, 0.0000, 0.0000), Hg at (0.6667, 0.3333, 0.4232) and P at (0.3333, 0.6667, 0.7274).

The total magnetization comes out at 0.00 μB per formula unit. The theoretical density is 7.2 g/cm³.

=====

## C
## YHgP (PBE)

Data for YHgP after structural relaxation.

The structure belongs to space group F-43m (No. 216); the cell edges are 6.832, 6.832 and 6.832 Å and the angles 90.00°, 90.00° and 90.00°. The asymmetric unit holds Y at (0.000, 0.000, 0.000), Hg at (0.250, 0.250, 0.750) and P at (0.250, 0.250, 0.250).

The total magnetization comes out at 0.00 μB per formula unit. The theoretical density is 6.7 g/cm³.

=====

## D
## YHgP (PBE)

Data for YHgP after structural relaxation.

The structure belongs to space group Fmm2 (No. 42); the cell edges are 4.496, 5.540 and 11.318 Å and the angles 90.00°, 90.00° and 90.00°. The asymmetric unit holds Y at (0.000, 0.000, 0.000), Hg at (0.000, 0.000, 0.296) and P at (0.000, 0.000, 0.628).

The total magnetization comes out at 0.00 μB per formula unit. The theoretical density is 7.5 g/cm³.

=====

Going by the computed energies, the most stable comes first: B, A, D, C.